(1)
First-principles (PBE) data for a relaxed structure of BaIF3, as listed in Alexandria via LeMat-Bulk.

## Properties
* total magnetic moment: 0.000 μB per atom
* ΔE to the lowest computed polymorph: 349 meV per atom
* E_form (uncorrected): -1.753 eV/atom
* symmetry: Pm-3m (221)

abc: 4.9887 4.9887 4.9887
angles: 90.00 90.00 90.00
Atoms (fractional coordinates):
I1 0.0000 0.0000 0.0000
Ba1 0.5000 0.5000 0.5000
F1 0.0000 0.5000 0.0000
F2 0.0000 0.0000 0.5000
F3 0.5000 0.0000 0.0000

(2)
First-principles (PBE) data for a relaxed structure of BaI2F, as listed in Alexandria via LeMat-Bulk.

## Properties
* total magnetic moment: 0.000 μB per atom
* ΔE to the lowest computed polymorph: 0 meV per atom
* E_form (uncorrected): -1.537 eV/atom
* symmetry: I-42d (122)

abc: 4.7415 4.7415 12.9225
angles: 79.43 79.43 90.00
Atoms (fractional coordinates):
I1 0.6227 0.1250 0.2500
I2 0.1273 0.6250 0.2500
I3 0.3750 0.3773 0.7500
I4 0.8750 0.8727 0.7500
Ba1 0.0000 0.0000 0.0000
Ba2 0.7500 0.2500 0.5000
F1 0.5000 0.5000 0.0000
F2 0.2500 0.7500 0.5000

(3)
First-principles (PBE) data for a relaxed structure of BaIF, as listed in Alexandria via LeMat-Bulk.

## Properties
* total magnetic moment: 0.000 μB per atom
* E_form (uncorrected): -2.837 eV/atom
* symmetry: P2_13 (198)

abc: 7.2868 7.2868 7.2868
angles: 90.00 90.00 90.00
Atoms (fractional coordinates):
F1 0.6460 0.6460 0.6460
F2 0.8540 0.3540 0.1460
F3 0.1460 0.8540 0.3540
F4 0.3540 0.1460 0.8540
I1 0.3624 0.3624 0.3624
I2 0.1376 0.6376 0.8624
I3 0.8624 0.1376 0.6376
I4 0.6376 0.8624 0.1376
Ba1 0.0831 0.0831 0.0831
Ba2 0.4169 0.9169 0.5831
Ba3 0.5831 0.4169 0.9169
Ba4 0.9169 0.5831 0.4169

(4)
First-principles (PBE) data for a relaxed structure of BaIF3, as listed in Alexandria via LeMat-Bulk.

## Properties
* total magnetic moment: 0.400 μB per atom
* ΔE to the lowest computed polymorph: 0 meV per atom
* E_form (uncorrected): -2.103 eV/atom
* symmetry: Pm-3m (221)

abc: 5.1282 5.1282 5.1282
angles: 90.00 90.00 90.00
Each line ends with the local moment (μB).
Atoms (fractional coordinates):
I1 0.5000 0.5000 0.5000  0.93
Ba1 0.0000 0.0000 0.0000  -0.01
F1 0.0000 0.5000 0.0000  0.12
F2 0.0000 0.0000 0.5000  0.22
F3 0.5000 0.0000 0.0000  0.19

(5)
First-principles (PBE) data for a relaxed structure of BaIF, as listed in Alexandria via LeMat-Bulk.

## Properties
* total magnetic moment: 0.000 μB per atom
* E_form (uncorrected): -2.537 eV/atom
* symmetry: I4mm (107)

abc: 3.9355 3.9355 6.5978
angles: 107.35 107.35 90.00
Atoms (fractional coordinates):
I1 0.0123 0.0123 0.0245
Ba1 0.7178 0.7178 0.4356
F1 0.2700 0.2700 0.5399

(6)
First-principles (PBE) data for a relaxed structure of Ba2I2F, as listed in Alexandria via LeMat-Bulk.

## Properties
* total magnetic moment: 0.000 μB per atom
* E_form (uncorrected): -1.386 eV/atom
* symmetry: P4/mmm (123)

abc: 6.1109 6.1109 15.8186
angles: 90.00 90.00 90.00
Atoms (fractional coordinates):
Ba1 0.5000 0.5000 0.1566
Ba2 0.5000 0.5000 0.8434
I1 0.5000 0.5000 0.6474
I2 0.5000 0.5000 0.3526
F1 0.5000 0.5000 0.0000

(7)
First-principles (PBE) data for a relaxed structure of Ba2IF, as listed in Alexandria via LeMat-Bulk.

## Properties
* total magnetic moment: 0.473 μB per atom
* ΔE to the lowest computed polymorph: 0 meV per atom
* E_form (uncorrected): -1.886 eV/atom
* symmetry: I-42d (122)

abc: 8.4816 8.4816 7.3793
angles: 54.92 54.92 90.00
Each line ends with the local moment (μB).
Atoms (fractional coordinates):
I1 0.0000 0.0000 0.0000  0.03
I2 0.7500 0.2500 0.5000  0.03
Ba1 0.5225 0.1250 0.2500  0.25
Ba2 0.2275 0.6250 0.2500  0.25
Ba3 0.3750 0.4775 0.7500  0.24
Ba4 0.8750 0.7725 0.7500  0.24
F1 0.5000 0.5000 0.0000  0.03
F2 0.2500 0.7500 0.5000  0.03

(8)
First-principles (PBE) data for a relaxed structure of BaI2F, as listed in Alexandria via LeMat-Bulk.

## Properties
* total magnetic moment: 0.000 μB per atom
* ΔE to the lowest computed polymorph: 138 meV per atom
* E_form (uncorrected): -1.399 eV/atom
* symmetry: Fm-3m (225)

abc: 5.7679 5.7679 5.7679
angles: 60.00 60.00 60.00
Atoms (fractional coordinates):
I1 0.2500 0.2500 0.2500
I2 0.7500 0.7500 0.7500
Ba1 0.5000 0.5000 0.5000
F1 0.0000 0.0000 0.0000

(9)
First-principles (PBE) data for a relaxed structure of Ba5I12F3, as listed in Alexandria via LeMat-Bulk.

## Properties
* total magnetic moment: 0.262 μB per atom
* E_form (uncorrected): -1.102 eV/atom
* symmetry: Ia-3d (230)

abc: 17.3264 17.3264 17.3264
angles: 109.47 109.47 109.47
Each line ends with the local moment (μB).
Atoms (fractional coordinates):
F1 0.7500 0.3750 0.1250  0.38
F2 0.8750 0.7500 0.1250  0.38
F3 0.3750 0.7500 0.6250  0.38
F4 0.2500 0.1250 0.3750  0.38
F5 0.8750 0.1250 0.2500  0.38
F6 0.3750 0.6250 0.2500  0.38
F7 0.6250 0.3750 0.7500  0.38
F8 0.1250 0.8750 0.7500  0.38
F9 0.7500 0.8750 0.6250  0.38
F10 0.6250 0.2500 0.3750  0.38
F11 0.1250 0.2500 0.8750  0.38
F12 0.2500 0.6250 0.8750  0.38
Ba1 0.1250 0.3750 0.2500  0.01
Ba2 0.0000 0.5000 0.0000  0.00
Ba3 0.0000 0.0000 0.0000  0.00
Ba4 0.3750 0.2500 0.1250  0.01
Ba5 0.5000 0.0000 0.5000  0.00
Ba6 0.5000 0.5000 0.0000  0.00
Ba7 0.1250 0.7500 0.3750  0.01
Ba8 0.7500 0.1250 0.8750  0.01
Ba9 0.7500 0.6250 0.3750  0.01
Ba10 0.3750 0.1250 0.7500  0.01
Ba11 0.6250 0.8750 0.2500  0.01
Ba12 0.5000 0.5000 0.5000  0.00
Ba13 0.5000 0.0000 0.0000  0.00
Ba14 0.0000 0.0000 0.5000  0.00
Ba15 0.2500 0.3750 0.6250  0.01
Ba16 0.2500 0.8750 0.1250  0.01
Ba17 0.0000 0.5000 0.5000  0.00
Ba18 0.8750 0.2500 0.6250  0.01
Ba19 0.6250 0.7500 0.8750  0.01
Ba20 0.8750 0.6250 0.7500  0.01
I1 0.7346 0.1089 0.0580  0.21
I2 0.3234 0.5580 0.4491  0.21
I3 0.9420 0.3911 0.2654  0.21
I4 0.5580 0.2346 0.1089  0.21
I5 0.6257 0.7346 0.6766  0.21
I6 0.9420 0.5509 0.1766  0.21
I7 0.3234 0.7654 0.3743  0.21
I8 0.0509 0.8743 0.1089  0.21
I9 0.5509 0.9420 0.6766  0.21
I10 0.7346 0.6257 0.1766  0.21
I11 0.7654 0.4420 0.3911  0.21
I12 0.8234 0.9491 0.0580  0.21
I13 0.1089 0.7346 0.5580  0.21
I14 0.3911 0.4491 0.1257  0.21
I15 0.1257 0.9491 0.3911  0.21
I16 0.3743 0.1089 0.5509  0.21
I17 0.1257 0.1766 0.2346  0.21
I18 0.4420 0.6766 0.0509  0.21
I19 0.8234 0.8743 0.2654  0.21
I20 0.1089 0.3743 0.0509  0.21
I21 0.3911 0.9420 0.7654  0.21
I22 0.5509 0.6089 0.3743  0.21
I23 0.9491 0.8234 0.5580  0.21
I24 0.7654 0.3234 0.8743  0.21
I25 0.4491 0.3911 0.6257  0.21
I26 0.0509 0.1766 0.4420  0.21
I27 0.2346 0.6766 0.1257  0.21
I28 0.1766 0.1257 0.7346  0.21
I29 0.6089 0.0580 0.2346  0.21
I30 0.8911 0.6257 0.9491  0.21
I31 0.5580 0.3234 0.9491  0.21
I32 0.6257 0.8911 0.4491  0.21
I33 0.8743 0.8234 0.7654  0.21
I34 0.8743 0.0509 0.6089  0.21
I35 0.8911 0.2654 0.4420  0.21
I36 0.1766 0.0509 0.9420  0.21
I37 0.6089 0.5509 0.8743  0.21
I38 0.4491 0.0580 0.3234  0.21
I39 0.2654 0.3743 0.8234  0.21
I40 0.2346 0.5580 0.6089  0.21
I41 0.9491 0.1257 0.8911  0.21
I42 0.6766 0.2346 0.6257  0.21
I43 0.4420 0.7654 0.8911  0.21
I44 0.0580 0.4491 0.8234  0.21
I45 0.3743 0.2654 0.3234  0.21
I46 0.0580 0.6089 0.7346  0.21
I47 0.6766 0.4420 0.5509  0.21
I48 0.2654 0.8911 0.9420  0.21

(10)
First-principles (PBE) data for a relaxed structure of Ba3IF, as listed in Alexandria via LeMat-Bulk.

## Properties
* total magnetic moment: 0.655 μB per atom
* ΔE to the lowest computed polymorph: 0 meV per atom
* E_form (uncorrected): -1.239 eV/atom
* symmetry: Pm-3m (221)

abc: 5.7422 5.7422 5.7422
angles: 90.00 90.00 90.00
Each line ends with the local moment (μB).
Atoms (fractional coordinates):
I1 0.5000 0.5000 0.5000  0.04
Ba1 0.0000 0.5000 0.0000  0.36
Ba2 0.0000 0.0000 0.5000  0.35
Ba3 0.5000 0.0000 0.0000  0.33
F1 0.0000 0.0000 0.0000  0.04

(11)
First-principles (PBE) data for a relaxed structure of Ba4IrI2F, as listed in Alexandria via LeMat-Bulk.

## Properties
* total magnetic moment: 0.000 μB per atom
* E_form (uncorrected): -1.379 eV/atom
* symmetry: P2/m (10)

abc: 4.5938 7.6495 8.9165
angles: 105.20 90.00 90.00
Atoms (fractional coordinates):
Ba1 0.5000 0.2500 0.2023
Ba2 0.5000 0.7500 0.7977
Ba3 0.0000 0.2576 0.8118
Ba4 0.0000 0.7424 0.1882
Ir1 0.5000 0.5000 0.0000
I1 0.5000 0.0000 0.5000
I2 0.0000 0.5000 0.5000
F1 0.0000 0.0000 0.0000

(12)
First-principles (PBE) data for a relaxed structure of KBaIF2, as listed in Alexandria via LeMat-Bulk.

## Properties
* total magnetic moment: 0.000 μB per atom
* E_form (uncorrected): -2.690 eV/atom
* symmetry: P4/mmm (123)

abc: 5.0618 5.0618 7.2030
angles: 90.00 90.00 90.00
Atoms (fractional coordinates):
I1 0.0000 0.0000 0.5000
K1 0.5000 0.5000 0.5000
Ba1 0.0000 0.0000 0.0000
F1 0.0000 0.5000 0.0000
F2 0.5000 0.0000 0.0000

Copy entry 5 word for word.
First-principles (PBE) data for a relaxed structure of BaIF, as listed in Alexandria via LeMat-Bulk.

## Properties
* total magnetic moment: 0.000 μB per atom
* E_form (uncorrected): -2.537 eV/atom
* symmetry: I4mm (107)

abc: 3.9355 3.9355 6.5978
angles: 107.35 107.35 90.00
Atoms (fractional coordinates):
I1 0.0123 0.0123 0.0245
Ba1 0.7178 0.7178 0.4356
F1 0.2700 0.2700 0.5399

Question: Number 2 is which compound?
Answer: BaI2F

Question: Which formula does entry 4 have?
Answer: BaIF3